The following is a DFT calculation (PBE) of an optimized crystal structure of Ge5Bi3Te12.

Computed properties:
- Energy relative to the elements, uncorrected: 0.07 eV/f.u.
- SG: Ia-3d

Lattice parameters (Å, degrees): 15.2269 15.2269 15.2269 109.47 109.47 109.47
Sites, in units of the cell vectors:
Bi: 0.7500 0.3750 0.1250
Bi: 0.8750 0.7500 0.1250
Bi: 0.3750 0.7500 0.6250
Bi: 0.2500 0.1250 0.3750
Bi: 0.8750 0.1250 0.2500
Bi: 0.3750 0.6250 0.2500
Bi: 0.6250 0.3750 0.7500
Bi: 0.1250 0.8750 0.7500
Bi: 0.7500 0.8750 0.6250
Bi: 0.6250 0.2500 0.3750
Bi: 0.1250 0.2500 0.8750
Bi: 0.2500 0.6250 0.8750
Ge: 0.1250 0.3750 0.2500
Ge: 0.0000 0.5000 0.0000
Ge: 0.0000 0.0000 0.0000
Ge: 0.3750 0.2500 0.1250
Ge: 0.5000 0.0000 0.5000
Ge: 0.5000 0.5000 0.0000
Ge: 0.1250 0.7500 0.3750
Ge: 0.7500 0.1250 0.8750
Ge: 0.7500 0.6250 0.3750
Ge: 0.3750 0.1250 0.7500
Ge: 0.6250 0.8750 0.2500
Ge: 0.5000 0.5000 0.5000
Ge: 0.5000 0.0000 0.0000
Ge: 0.0000 0.0000 0.5000
Ge: 0.2500 0.3750 0.6250
Ge: 0.2500 0.8750 0.1250
Ge: 0.0000 0.5000 0.5000
Ge: 0.8750 0.2500 0.6250
Ge: 0.6250 0.7500 0.8750
Ge: 0.8750 0.6250 0.7500
Te: 0.7141 0.1240 0.0357
Te: 0.3215 0.5357 0.4117
Te: 0.9643 0.3760 0.2859
Te: 0.5357 0.2141 0.1240
Te: 0.5901 0.7141 0.6785
Te: 0.9643 0.5883 0.1785
Te: 0.3215 0.7859 0.4099
Te: 0.0883 0.9099 0.1240
Te: 0.5883 0.9643 0.6785
Te: 0.7141 0.5901 0.1785
Te: 0.7859 0.4643 0.3760
Te: 0.8215 0.9117 0.0357
Te: 0.1240 0.7141 0.5357
Te: 0.3760 0.4117 0.0901
Te: 0.0901 0.9117 0.3760
Te: 0.4099 0.1240 0.5883
Te: 0.0901 0.1785 0.2141
Te: 0.4643 0.6785 0.0883
Te: 0.8215 0.9099 0.2859
Te: 0.1240 0.4099 0.0883
Te: 0.3760 0.9643 0.7859
Te: 0.5883 0.6240 0.4099
Te: 0.9117 0.8215 0.5357
Te: 0.7859 0.3215 0.9099
Te: 0.4117 0.3760 0.5901
Te: 0.0883 0.1785 0.4643
Te: 0.2141 0.6785 0.0901
Te: 0.1785 0.0901 0.7141
Te: 0.6240 0.0357 0.2141
Te: 0.8760 0.5901 0.9117
Te: 0.5357 0.3215 0.9117
Te: 0.5901 0.8760 0.4117
Te: 0.9099 0.8215 0.7859
Te: 0.9099 0.0883 0.6240
Te: 0.8760 0.2859 0.4643
Te: 0.1785 0.0883 0.9643
Te: 0.6240 0.5883 0.9099
Te: 0.4117 0.0357 0.3215
Te: 0.2859 0.4099 0.8215
Te: 0.2141 0.5357 0.6240
Te: 0.9117 0.0901 0.8760
Te: 0.6785 0.2141 0.5901
Te: 0.4643 0.7859 0.8760
Te: 0.0357 0.4117 0.8215
Te: 0.4099 0.2859 0.3215
Te: 0.0357 0.6240 0.7141
Te: 0.6785 0.4643 0.5883
Te: 0.2859 0.8760 0.9643

The following is a DFT calculation (PBE) of an optimized crystal structure of MgTiF3.

Computed properties:
- Energy relative to the elements, uncorrected: -11.23 eV/f.u.
- SG: Pm-3m

Lattice parameters (Å, degrees): 4.0100 4.0100 4.0100 90.00 90.00 90.00
Each line ends with the local moment (μB).
Sites, in units of the cell vectors:
Mg: 0.0000 0.0000 0.0000  0.00
F: 0.0000 0.5000 0.0000  0.03
F: 0.0000 0.0000 0.5000  0.02
F: 0.5000 0.0000 0.0000  0.02
Ti: 0.5000 0.5000 0.5000  2.23

The following is a DFT calculation (PBE) of an optimized crystal structure of AgBPS2.

Computed properties:
- Energy relative to the elements, uncorrected: 9.09 eV/f.u.
- SG: P4/mmm

Lattice parameters (Å, degrees): 4.9219 4.9219 4.7110 90.00 90.00 90.00
Each line ends with the local moment (μB).
Sites, in units of the cell vectors:
P: 0.0000 0.0000 0.5000  0.34
S: 0.0000 0.5000 0.0000  0.01
S: 0.5000 0.0000 0.0000  0.01
B: 0.5000 0.5000 0.5000  0.00
Ag: 0.0000 0.0000 0.0000  0.01

The following is a DFT calculation (PBE) of an optimized crystal structure of ScTc2Pb.

Computed properties:
- Energy of formation from the pure elements: 219 meV/atom
- SG: P2/m

Lattice parameters (Å, degrees): 4.5217 3.0670 5.7999 79.68 90.00 90.00
Sites, in units of the cell vectors:
Pb: 0.5000 0.2500 0.2500
Sc: 0.5000 0.7500 0.7500
Tc: 0.0000 0.1618 0.9478
Tc: 0.0000 0.3382 0.5522

no.,uncorrected energy (Ry/atom),theoretical density (g cm⁻³)
1,-0.26593,6.16
2,-0.38705,3.33
3,-0.20726,3.11
4,-0.54936,9.40